1.
{
  "formula": "Tb7CePm12",
  "functional": "PBE",
  "state": "optimized geometry",
  "lattice_angstrom": [[7.9993, 4.6184, 3.0085], [-7.9993, 4.6184, 3.0085], [0.0000, -9.2368, 3.0085]],
  "species": ["Tb", "Tb", "Tb", "Tb", "Tb", "Tb", "Tb", "Ce", "Pm", "Pm", "Pm", "Pm", "Pm", "Pm", "Pm", "Pm", "Pm", "Pm", "Pm", "Pm"],
  "fractional_positions": [[0.0000, 0.0000, 0.0000], [0.1735, 0.2945, 0.4649], [0.2945, 0.4649, 0.1735], [0.4649, 0.1735, 0.2945], [0.5351, 0.8265, 0.7055], [0.7055, 0.5351, 0.8265], [0.8265, 0.7055, 0.5351], [0.5000, 0.5000, 0.5000], [0.0680, 0.5819, 0.3713], [0.1005, 0.1584, 0.7339], [0.1584, 0.7339, 0.1005], [0.2661, 0.8995, 0.8416], [0.3713, 0.0680, 0.5819], [0.4181, 0.6287, 0.9320], [0.5819, 0.3713, 0.0680], [0.6287, 0.9320, 0.4181], [0.7339, 0.1005, 0.1584], [0.8416, 0.2661, 0.8995], [0.8995, 0.8416, 0.2661], [0.9320, 0.4181, 0.6287]],
  "energy_ev_per_atom": -4.65,
  "de_polymorph_ev_per_fu": 0.00,
  "formation_energy_ev_per_fu": 2.31
}



2.
{
  "formula": "Tb2CePm8",
  "functional": "PBE",
  "state": "optimized geometry",
  "lattice_angstrom": [[9.2436, -2.5631, 0.0000], [9.2436, 2.5631, 0.0000], [-2.1297, 0.0000, 7.8202]],
  "species": ["Tb", "Tb", "Ce", "Pm", "Pm", "Pm", "Pm", "Pm", "Pm", "Pm", "Pm"],
  "fractional_positions": [[0.2280, 0.2280, 0.1361], [0.7720, 0.7720, 0.8639], [0.5000, 0.5000, 0.5000], [0.0453, 0.0453, 0.2316], [0.1360, 0.1360, 0.6824], [0.3194, 0.3194, 0.5902], [0.4087, 0.4087, 0.0465], [0.5913, 0.5913, 0.9535], [0.6806, 0.6806, 0.4098], [0.8640, 0.8640, 0.3176], [0.9547, 0.9547, 0.7684]],
  "energy_ev_per_atom": -4.80,
  "formation_energy_ev_per_fu": 0.42
}



> Which formula does entry 2 have?

Tb2CePm8